The following is a PBEsol calculation of a geometry-optimized Bi14Mo5O36 structure, from the Alexandria database.

Lattice parameters (Å, degrees): 17.4133 17.4133 8.5647 99.38 99.38 18.62
Fractional positions:
Bi  0.0206  0.0323  0.3251
Bi  0.1292  0.1292  0.5577
Bi  0.1542  0.2070  0.2282
Bi  0.2075  0.2740  0.8161
Bi  0.2123  0.3661  0.4662
Bi  0.3963  0.3947  0.7304
Bi  0.4417  0.4554  0.3877
Bi  0.5446  0.5583  0.6123
Bi  0.6053  0.6037  0.2696
Bi  0.6339  0.7877  0.5338
Bi  0.7260  0.7925  0.1839
Bi  0.7930  0.8458  0.7718
Bi  0.8708  0.8708  0.4423
Bi  0.9677  0.9794  0.6749
Mo  0.0803  0.0771  0.9413
Mo  0.2854  0.3909  0.0974
Mo  0.4996  0.5004  0.0000
Mo  0.6091  0.7146  0.9026
Mo  0.9229  0.9197  0.0587
O  0.9999  0.5347  0.6579
O  0.0178  0.5919  0.0280
O  0.0809  0.6834  0.9823
O  0.0917  0.6029  0.6134
O  0.1171  0.8004  0.1875
O  0.1612  0.6856  0.5565
O  0.1996  0.8829  0.8125
O  0.2404  0.5057  0.2682
O  0.2604  0.7396  0.5000
O  0.2664  0.1263  0.6312
O  0.2863  0.6376  0.8912
O  0.3144  0.8388  0.4435
O  0.3166  0.9191  0.0177
O  0.3624  0.7137  0.1088
O  0.3971  0.9083  0.3866
O  0.4081  0.9822  0.9720
O  0.4426  0.1687  0.1823
O  0.4625  0.2317  0.9296
O  0.4653  0.0001  0.3421
O  0.4943  0.7596  0.7318
O  0.5179  0.0161  0.6905
O  0.5988  0.0977  0.6126
O  0.6538  0.1964  0.5639
O  0.6612  0.3043  0.1454
O  0.6957  0.3388  0.8546
O  0.7098  0.0929  0.1844
O  0.7563  0.2437  0.5000
O  0.7683  0.5375  0.0704
O  0.7813  0.0826  0.8871
O  0.8036  0.3462  0.4361
O  0.8313  0.5574  0.8177
O  0.8737  0.7336  0.3688
O  0.9023  0.4012  0.3874
O  0.9071  0.2902  0.8156
O  0.9174  0.2187  0.1129
O  0.9839  0.4821  0.3095

Computed properties:
The value obtained for the volume is 14.87 Å³ per atom. Its theoretical density is 8.082 g cm⁻³. The total energy comes out at -395.044 eV/cell. The density of states at the Fermi level comes out at 0.000 states/eV/atom.